The following is a PBE with a Hubbard U calculation of a relaxed VAuN2O crystal, from Alexandria.

Geometry as CIF:
```
data_VAuN2O
_chemical_formula_sum 'V1 Au1 N2 O1'
_space_group_name_H-M_alt 'P 4/m m m'
_space_group_IT_number 123
_space_group_name_Hall '-P 4 2'
_cell_length_a 4.033
_cell_length_b 4.033
_cell_length_c 4.056
_cell_angle_alpha 90.00
_cell_angle_beta 90.00
_cell_angle_gamma 90.00
loop_
_atom_site_label
_atom_site_type_symbol
_atom_site_fract_x
_atom_site_fract_y
_atom_site_fract_z
V1 V 0.000 0.000 0.000
Au1 Au 0.500 0.500 0.500
N1 N 0.000 0.500 0.500
O1 O 0.500 0.500 0.000
```

Properties
The value obtained for the uncorrected energy is -4.724 eV per atom. The total magnetic moment comes out at 0.92 μB per formula unit.